No. 1
Computed, not measured: crystalline MgAuI2 at its relaxed geometry at the PBE-GGA level of DFT. Values from VASP.

Cell and atoms, written as Quantum ESPRESSO input:
```
&SYSTEM
  ibrav = 0, nat = 4, ntyp = 3
/
ATOMIC_SPECIES
Mg 24.30 Mg.upf
Au 196.97 Au.upf
I 126.90 I.upf
CELL_PARAMETERS angstrom
0.000 3.797 3.797
3.797 0.000 3.797
3.797 3.797 0.000
ATOMIC_POSITIONS crystal
Mg 0.000 0.000 0.000
Au 0.500 0.500 0.500
I 0.250 0.250 0.250
I 0.750 0.750 0.750
```

Values from the calculation:
ΔE_f (raw)   -0.009 eV/atom
Distance to the lowest polymorph of the same formula   0.155 eV/atom
Space-group type   Fm-3m (225)

---

No. 2
Computed, not measured: crystalline MgAuI at its relaxed geometry at the PBE-GGA level of DFT. Values from VASP.

Cell and atoms, written as Quantum ESPRESSO input:
```
&SYSTEM
  ibrav = 0, nat = 12, ntyp = 3
/
ATOMIC_SPECIES
Mg 24.30 Mg.upf
Au 196.97 Au.upf
I 126.90 I.upf
CELL_PARAMETERS angstrom
7.338 0.000 0.000
0.000 7.470 0.000
-2.388 0.000 6.115
ATOMIC_POSITIONS crystal
Mg 0.084 0.121 0.227
Mg 0.084 0.379 0.727
Mg 0.916 0.621 0.273
Mg 0.916 0.879 0.773
Au 0.192 0.709 0.663
Au 0.192 0.791 0.163
Au 0.808 0.209 0.837
Au 0.808 0.291 0.337
I 0.343 0.098 0.691
I 0.343 0.402 0.191
I 0.657 0.598 0.809
I 0.657 0.902 0.309
```

Values from the calculation:
ΔE_f (raw)   -0.495 eV/atom
Space-group type   P2_1/c (14)

---

No. 3
Computed, not measured: crystalline Mg3Au5I12 at its relaxed geometry at the PBE-GGA level of DFT. Values from VASP.

Cell and atoms, written as Quantum ESPRESSO input:
```
&SYSTEM
  ibrav = 0, nat = 80, ntyp = 3
/
ATOMIC_SPECIES
Mg 24.30 Mg.upf
Au 196.97 Au.upf
I 126.90 I.upf
CELL_PARAMETERS angstrom
-9.291 9.291 9.291
9.291 -9.291 9.291
9.291 9.291 -9.291
ATOMIC_POSITIONS crystal
Mg 0.125 0.250 0.375
Mg 0.125 0.375 0.750
Mg 0.250 0.375 0.125
Mg 0.250 0.875 0.625
Mg 0.375 0.125 0.250
Mg 0.375 0.750 0.125
Mg 0.625 0.250 0.875
Mg 0.625 0.875 0.750
Mg 0.750 0.125 0.375
Mg 0.750 0.625 0.875
Mg 0.875 0.625 0.250
Mg 0.875 0.750 0.625
Au 0.000 0.000 0.000
Au 0.000 0.000 0.500
Au 0.000 0.500 0.000
Au 0.000 0.500 0.500
Au 0.125 0.750 0.875
Au 0.125 0.875 0.250
Au 0.250 0.125 0.875
Au 0.250 0.625 0.375
Au 0.375 0.250 0.625
Au 0.375 0.625 0.750
Au 0.500 0.000 0.000
Au 0.500 0.000 0.500
Au 0.500 0.500 0.000
Au 0.500 0.500 0.500
Au 0.625 0.375 0.250
Au 0.625 0.750 0.375
Au 0.750 0.375 0.625
Au 0.750 0.875 0.125
Au 0.875 0.125 0.750
Au 0.875 0.250 0.125
I 0.008 0.164 0.156
I 0.008 0.344 0.852
I 0.008 0.664 0.656
I 0.008 0.844 0.352
I 0.148 0.656 0.492
I 0.148 0.992 0.656
I 0.156 0.008 0.164
I 0.156 0.164 0.508
I 0.156 0.492 0.648
I 0.156 0.648 0.992
I 0.164 0.156 0.008
I 0.164 0.508 0.156
I 0.336 0.344 0.992
I 0.336 0.492 0.344
I 0.344 0.336 0.492
I 0.344 0.508 0.852
I 0.344 0.852 0.008
I 0.344 0.992 0.336
I 0.352 0.008 0.844
I 0.352 0.844 0.508
I 0.492 0.148 0.656
I 0.492 0.344 0.336
I 0.492 0.648 0.156
I 0.492 0.844 0.836
I 0.508 0.156 0.164
I 0.508 0.352 0.844
I 0.508 0.656 0.664
I 0.508 0.852 0.344
I 0.648 0.156 0.492
I 0.648 0.992 0.156
I 0.656 0.008 0.664
I 0.656 0.148 0.992
I 0.656 0.492 0.148
I 0.656 0.664 0.508
I 0.664 0.508 0.656
I 0.664 0.656 0.008
I 0.836 0.492 0.844
I 0.836 0.844 0.992
I 0.844 0.352 0.008
I 0.844 0.508 0.352
I 0.844 0.836 0.492
I 0.844 0.992 0.836
I 0.852 0.008 0.344
I 0.852 0.344 0.508
I 0.992 0.156 0.648
I 0.992 0.336 0.344
I 0.992 0.656 0.148
I 0.992 0.836 0.844
```

Values from the calculation:
ΔE_f (raw)   -0.237 eV/atom
Space-group type   Ia-3d (230)

---

No. 4
Computed, not measured: crystalline Mg5Au3I12 at its relaxed geometry at the PBE-GGA level of DFT. Values from VASP.

Cell and atoms, written as Quantum ESPRESSO input:
```
&SYSTEM
  ibrav = 0, nat = 80, ntyp = 3
/
ATOMIC_SPECIES
Mg 24.30 Mg.upf
Au 196.97 Au.upf
I 126.90 I.upf
CELL_PARAMETERS angstrom
-9.034 9.034 9.034
9.034 -9.034 9.034
9.034 9.034 -9.034
ATOMIC_POSITIONS crystal
Mg 0.000 0.000 0.000
Mg 0.000 0.000 0.500
Mg 0.000 0.500 0.000
Mg 0.000 0.500 0.500
Mg 0.125 0.750 0.875
Mg 0.125 0.875 0.250
Mg 0.250 0.125 0.875
Mg 0.250 0.625 0.375
Mg 0.375 0.250 0.625
Mg 0.375 0.625 0.750
Mg 0.500 0.000 0.000
Mg 0.500 0.000 0.500
Mg 0.500 0.500 0.000
Mg 0.500 0.500 0.500
Mg 0.625 0.375 0.250
Mg 0.625 0.750 0.375
Mg 0.750 0.375 0.625
Mg 0.750 0.875 0.125
Mg 0.875 0.125 0.750
Mg 0.875 0.250 0.125
Au 0.125 0.250 0.375
Au 0.125 0.375 0.750
Au 0.250 0.375 0.125
Au 0.250 0.875 0.625
Au 0.375 0.125 0.250
Au 0.375 0.750 0.125
Au 0.625 0.250 0.875
Au 0.625 0.875 0.750
Au 0.750 0.125 0.375
Au 0.750 0.625 0.875
Au 0.875 0.625 0.250
Au 0.875 0.750 0.625
I 0.033 0.208 0.128
I 0.033 0.325 0.904
I 0.080 0.708 0.675
I 0.080 0.872 0.404
I 0.096 0.628 0.420
I 0.096 0.967 0.675
I 0.128 0.033 0.208
I 0.128 0.596 0.920
I 0.175 0.208 0.580
I 0.175 0.467 0.596
I 0.208 0.128 0.033
I 0.208 0.580 0.175
I 0.292 0.325 0.920
I 0.292 0.467 0.372
I 0.325 0.904 0.033
I 0.325 0.920 0.292
I 0.372 0.292 0.467
I 0.372 0.580 0.904
I 0.404 0.080 0.872
I 0.404 0.825 0.533
I 0.420 0.096 0.628
I 0.420 0.825 0.792
I 0.467 0.372 0.292
I 0.467 0.596 0.175
I 0.533 0.404 0.825
I 0.533 0.628 0.708
I 0.580 0.175 0.208
I 0.580 0.904 0.372
I 0.596 0.175 0.467
I 0.596 0.920 0.128
I 0.628 0.420 0.096
I 0.628 0.708 0.533
I 0.675 0.080 0.708
I 0.675 0.096 0.967
I 0.708 0.533 0.628
I 0.708 0.675 0.080
I 0.792 0.420 0.825
I 0.792 0.872 0.967
I 0.825 0.533 0.404
I 0.825 0.792 0.420
I 0.872 0.404 0.080
I 0.872 0.967 0.792
I 0.904 0.033 0.325
I 0.904 0.372 0.580
I 0.920 0.128 0.596
I 0.920 0.292 0.325
I 0.967 0.675 0.096
I 0.967 0.792 0.872
```

Values from the calculation:
ΔE_f (raw)   -0.469 eV/atom
Space-group type   Ia-3d (230)

---

no.,raw total energy (eV per atom),ρ (Mg/m³)
1,-2.002,7.2
2,-2.636,6.9
3,-2.225,5.3
4,-2.290,5.0